[1]
Entry from Alexandria via LeMat-Bulk: a relaxed MgMn2Te crystal (PBE).

Lattice parameters (Å, degrees): 7.6011 7.6011 6.0838 51.34 51.34 90.00
Atoms (fractional coordinates):
Mg: 0.2500 0.7500 0.5000
Mn: 0.1099 0.6250 0.2500
Mn: 0.3750 0.3599 0.7500
Mn: 0.8750 0.8901 0.7500
Mg: 0.5000 0.5000 0.0000
Te: 0.0000 0.0000 0.0000
Mn: 0.6401 0.1250 0.2500
Te: 0.7500 0.2500 0.5000

Calculated values
Polymorph energy (0 for the lowest one) ... 0.273 eV per atom
Fermi-level density of states ... 3.72 states/eV/f.u.
Uncorrected formation energy ... 0.441 eV per atom

[2]
Entry from Alexandria via LeMat-Bulk: a relaxed MgMn3Te crystal (PBE).

Lattice parameters (Å, degrees): 4.8918 4.8918 4.8918 90.00 90.00 90.00
Atoms (fractional coordinates):
Te: 0.0000 0.0000 0.0000
Mn: 0.0000 0.0000 0.5000
Mn: 0.0000 0.5000 0.0000
Mn: 0.5000 0.0000 0.0000
Mg: 0.5000 0.5000 0.5000

Calculated values
Polymorph energy (0 for the lowest one) ... 0.000 eV per atom
Fermi-level density of states ... 5.26 states/eV/f.u.
Uncorrected formation energy ... 0.871 eV per atom

[3]
Entry from Alexandria via LeMat-Bulk: a relaxed Mg2TiMnTe crystal (PBE).

Lattice parameters (Å, degrees): 5.1388 4.2973 5.1388 90.00 90.00 90.00
Atoms (fractional coordinates):
Mn: 0.0000 0.0000 0.0000
Ti: 0.0000 0.5000 0.0000
Mg: 0.0000 0.0000 0.5000
Mg: 0.5000 0.0000 0.0000
Te: 0.5000 0.5000 0.5000

Calculated values
Fermi-level density of states ... 3.52 states/eV/f.u.
Uncorrected formation energy ... 0.332 eV per atom

[4]
Entry from Alexandria via LeMat-Bulk: a relaxed Th2MgMn crystal (PBE).

Lattice parameters (Å, degrees): 3.3632 3.3632 8.9043 90.00 90.00 90.00
Atoms (fractional coordinates):
Th: 0.0000 0.0000 0.1969
Mg: 0.5000 0.5000 0.5000
Mn: 0.5000 0.5000 0.0000
Th: 0.0000 0.0000 0.8031

Calculated values
Polymorph energy (0 for the lowest one) ... 0.000 eV per atom
Fermi-level density of states ... 4.13 states/eV/f.u.
Energy of formation from the pure elements ... 14 kJ/mol of atoms

What did the fourth record say?
Entry from Alexandria via LeMat-Bulk: a relaxed Th2MgMn crystal (PBE).

Lattice parameters (Å, degrees): 3.3632 3.3632 8.9043 90.00 90.00 90.00
Atoms (fractional coordinates):
Th: 0.0000 0.0000 0.1969
Mg: 0.5000 0.5000 0.5000
Mn: 0.5000 0.5000 0.0000
Th: 0.0000 0.0000 0.8031

Calculated values
Polymorph energy (0 for the lowest one) ... 0.000 eV per atom
Fermi-level density of states ... 4.13 states/eV/f.u.
Energy of formation from the pure elements ... 14 kJ/mol of atoms

> Fermi-level density of states of number 1 (MgMn2Te)?

3.72 states/eV/f.u.